An optimized crystal structure of YZnSb2, computed with GGA-PBEsol.

```
YZnSb2
1.0
-3.910 1.601 -0.191
-1.557 -3.880 -0.641
2.220 0.497 5.553
Y Zn Sb
1 1 2
direct
0.500 0.500 0.000
0.250 0.750 0.500
0.750 0.250 0.500
0.000 0.000 0.000
```

The crystal system is tetragonal. The space group is No. 119.

An optimized crystal structure of YZn2Sb, computed with GGA-PBEsol.

```
YZn2Sb
1.0
-2.078 -2.577 2.695
3.217 -2.800 -0.197
1.965 2.016 3.441
Sb Zn Y
1 2 1
direct
0.500 0.500 0.500
0.000 0.500 0.000
0.500 0.000 0.000
0.000 0.000 0.500
```

The crystal system is tetragonal. The space group is No. 123.

An optimized crystal structure of YZn2Sb, computed with GGA-PBEsol.

```
YZn2Sb
1.0
4.954 0.000 0.000
2.477 4.290 0.000
2.477 1.430 4.045
Zn Sb Y
2 1 1
direct
0.750 0.750 0.750
0.000 0.000 0.000
0.500 0.500 0.500
0.250 0.250 0.250
```

The crystal system is cubic. The space group is No. 216.

Number 1: E_form (uncorrected) -0.46 eV per atom, total DFT energy (no corrections) -19.4 eV for the cell shown, total magnetic moment 0.00 Bohr magnetons per cell. Number 2: E_form (uncorrected) -0.44 eV per atom, total DFT energy (no corrections) -16.3 eV for the cell shown, total magnetic moment 0.00 Bohr magnetons per cell. Number 3: E_form (uncorrected) -0.14 eV per atom, total DFT energy (no corrections) -15.1 eV for the cell shown, total magnetic moment 0.00 Bohr magnetons per cell.